DFT (PBE-GGA) results for TaRu3 after structural relaxation.

```
data_TaRu3
_chemical_formula_sum 'Ta4 Ru12'
_symmetry_space_group_name_H-M 'P 1'
_symmetry_Int_Tables_number 1
_cell_length_a 4.879
_cell_length_b 8.861
_cell_length_c 5.520
_cell_angle_alpha 90.00
_cell_angle_beta 90.00
_cell_angle_gamma 90.00
loop_
_symmetry_equiv_pos_as_xyz
'x,y,z'
loop_
_atom_site_label
_atom_site_type_symbol
_atom_site_fract_x
_atom_site_fract_y
_atom_site_fract_z
Ta1 Ta 0.081 0.250 0.109
Ta2 Ta 0.419 0.750 0.609
Ta3 Ta 0.581 0.250 0.391
Ta4 Ta 0.919 0.750 0.891
Ru1 Ru 0.086 0.250 0.613
Ru2 Ru 0.235 0.506 0.369
Ru3 Ru 0.235 0.994 0.369
Ru4 Ru 0.265 0.006 0.869
Ru5 Ru 0.265 0.494 0.869
Ru6 Ru 0.414 0.750 0.113
Ru7 Ru 0.586 0.250 0.887
Ru8 Ru 0.735 0.506 0.131
Ru9 Ru 0.735 0.994 0.131
Ru10 Ru 0.765 0.006 0.631
Ru11 Ru 0.765 0.494 0.631
Ru12 Ru 0.914 0.750 0.387
```

Properties
Size of the total moment in μB per cell: 0.00
Formation enthalpy at 0 K in eV per atom: -0.16
E_tot in eV/atom: -10.08
Calculated density in g/cm3: 13.5

DFT (PBE-GGA) results for Ta3Ru after structural relaxation.

```
data_Ta3Ru
_chemical_formula_sum 'Ta3 Ru1'
_symmetry_space_group_name_H-M 'P 1'
_symmetry_Int_Tables_number 1
_cell_length_a 2.873
_cell_length_b 2.873
_cell_length_c 8.840
_cell_angle_alpha 90.00
_cell_angle_beta 90.00
_cell_angle_gamma 109.82
loop_
_symmetry_equiv_pos_as_xyz
'x,y,z'
loop_
_atom_site_label
_atom_site_type_symbol
_atom_site_fract_x
_atom_site_fract_y
_atom_site_fract_z
Ta1 Ta 0.000 0.000 0.000
Ta2 Ta 0.500 0.500 0.263
Ta3 Ta 0.500 0.500 0.737
Ru1 Ru 0.000 0.000 0.500
```

Properties
Size of the total moment in μB per cell: 0.00
Formation enthalpy at 0 K in eV per atom: -0.11
E_tot in eV/atom: -11.32
Calculated density in g/cm3: 15.6

DFT (PBE-GGA) results for Ta3Ru after structural relaxation.

```
data_Ta3Ru
_chemical_formula_sum 'Ta12 Ru4'
_symmetry_space_group_name_H-M 'P 1'
_symmetry_Int_Tables_number 1
_cell_length_a 5.389
_cell_length_b 9.441
_cell_length_c 5.494
_cell_angle_alpha 90.00
_cell_angle_beta 90.00
_cell_angle_gamma 90.00
loop_
_symmetry_equiv_pos_as_xyz
'x,y,z'
loop_
_atom_site_label
_atom_site_type_symbol
_atom_site_fract_x
_atom_site_fract_y
_atom_site_fract_z
Ta1 Ta 0.012 0.250 0.133
Ta2 Ta 0.228 0.024 0.633
Ta3 Ta 0.228 0.476 0.633
Ta4 Ta 0.272 0.524 0.133
Ta5 Ta 0.272 0.976 0.133
Ta6 Ta 0.488 0.750 0.633
Ta7 Ta 0.512 0.250 0.367
Ta8 Ta 0.728 0.024 0.867
Ta9 Ta 0.728 0.476 0.867
Ta10 Ta 0.772 0.524 0.367
Ta11 Ta 0.772 0.976 0.367
Ta12 Ta 0.988 0.750 0.867
Ru1 Ru 0.070 0.750 0.365
Ru2 Ru 0.430 0.250 0.865
Ru3 Ru 0.570 0.750 0.135
Ru4 Ru 0.930 0.250 0.635
```

Properties
Size of the total moment in μB per cell: 0.00
Formation enthalpy at 0 K in eV per atom: -0.03
E_tot in eV/atom: -11.24
Calculated density in g/cm3: 15.3

DFT (PBE-GGA) results for Ta4Ru after structural relaxation.

```
data_Ta4Ru
_chemical_formula_sum 'Ta4 Ru1'
_symmetry_space_group_name_H-M 'P 1'
_symmetry_Int_Tables_number 1
_cell_length_a 5.416
_cell_length_b 5.416
_cell_length_c 5.416
_cell_angle_alpha 95.10
_cell_angle_beta 95.10
_cell_angle_gamma 145.31
loop_
_symmetry_equiv_pos_as_xyz
'x,y,z'
loop_
_atom_site_label
_atom_site_type_symbol
_atom_site_fract_x
_atom_site_fract_y
_atom_site_fract_z
Ta1 Ta 0.096 0.295 0.391
Ta2 Ta 0.295 0.904 0.199
Ta3 Ta 0.705 0.096 0.801
Ta4 Ta 0.904 0.705 0.609
Ru1 Ru 0.500 0.500 0.000
```

Properties
Size of the total moment in μB per cell: 0.00
Formation enthalpy at 0 K in eV per atom: -0.22
E_tot in eV/atom: -11.56
Calculated density in g/cm3: 15.9